Record 1
A relaxed Ba2PrNi9 crystal. Source: Alexandria, functional PBE.

a b c (Å): 9.106 9.106 9.106
angles (deg): 32.85 32.85 32.85
Atoms (fractional coordinates):
Ba (0.139, 0.139, 0.139)
Ba (0.861, 0.861, 0.861)
Pr (0.000, 0.000, 0.000)
Ni (0.080, 0.572, 0.572)
Ni (0.332, 0.332, 0.332)
Ni (0.428, 0.428, 0.920)
Ni (0.428, 0.920, 0.428)
Ni (0.500, 0.500, 0.500)
Ni (0.572, 0.080, 0.572)
Ni (0.572, 0.572, 0.080)
Ni (0.668, 0.668, 0.668)
Ni (0.920, 0.428, 0.428)

Calculated values
Fermi-level density of states = 11.180 states/eV per cell
Total DFT energy (no corrections) = -5.07 eV/atom
E_form = -0.020 eV/atom

***

Record 2
A relaxed BaPr3Ni crystal. Source: Alexandria, functional PBE.

a b c (Å): 5.699 5.699 5.699
angles (deg): 90.00 90.00 90.00
Atoms (fractional coordinates):
Ba (0.000, 0.000, 0.000)
Pr (0.000, 0.500, 0.500)
Pr (0.500, 0.000, 0.500)
Pr (0.500, 0.500, 0.000)
Ni (0.500, 0.500, 0.500)

Calculated values
Fermi-level density of states = 11.879 states/eV per cell
Total DFT energy (no corrections) = -4.37 eV/atom
E_form = 0.039 eV/atom

***

Record 3
A relaxed BaPrNi10 crystal. Source: Alexandria, functional PBE.

a b c (Å): 3.953 5.088 8.839
angles (deg): 90.00 90.00 90.00
Atoms (fractional coordinates):
Ba (0.000, 0.000, 0.000)
Pr (0.000, 0.500, 0.500)
Ni (0.000, 0.000, 0.341)
Ni (0.000, 0.000, 0.659)
Ni (0.000, 0.500, 0.176)
Ni (0.000, 0.500, 0.824)
Ni (0.500, 0.000, 0.500)
Ni (0.500, 0.256, 0.260)
Ni (0.500, 0.256, 0.740)
Ni (0.500, 0.500, 0.000)
Ni (0.500, 0.744, 0.260)
Ni (0.500, 0.744, 0.740)

Calculated values
Fermi-level density of states = 16.051 states/eV per cell
Total DFT energy (no corrections) = -5.45 eV/atom
E_form = -0.078 eV/atom

***

Record 4
A relaxed BaPrNiS4 crystal. Source: Alexandria, functional PBE.

a b c (Å): 8.097 8.097 6.569
angles (deg): 90.00 90.00 133.18
Atoms (fractional coordinates):
Ba (0.104, 0.896, 0.750)
Ba (0.896, 0.104, 0.250)
Pr (0.378, 0.622, 0.750)
Pr (0.622, 0.378, 0.250)
Ni (0.252, 0.748, 0.250)
Ni (0.748, 0.252, 0.750)
S (0.000, 0.500, 0.000)
S (0.000, 0.500, 0.500)
S (0.100, 0.900, 0.250)
S (0.428, 0.572, 0.250)
S (0.500, 0.000, 0.000)
S (0.500, 0.000, 0.500)
S (0.572, 0.428, 0.750)
S (0.900, 0.100, 0.750)

Calculated values
Fermi-level density of states = 2.953 states/eV per cell
Total DFT energy (no corrections) = -5.46 eV/atom

***

Record 5
A relaxed BaPrNi2Sb2 crystal. Source: Alexandria, functional PBE.

a b c (Å): 4.414 4.414 9.211
angles (deg): 90.00 90.00 120.00
Atoms (fractional coordinates):
Ba (0.000, 0.000, 0.000)
Pr (0.000, 0.000, 0.500)
Ni (0.333, 0.667, 0.714)
Ni (0.667, 0.333, 0.286)
Sb (0.333, 0.667, 0.270)
Sb (0.667, 0.333, 0.730)

Calculated values
Fermi-level density of states = 4.907 states/eV per cell
Total DFT energy (no corrections) = -5.15 eV/atom

***

Record 6
A relaxed BaNiPt2 crystal. Source: Alexandria, functional PBE.

a b c (Å): 3.136 3.399 7.447
angles (deg): 90.00 90.00 90.00
Atoms (fractional coordinates):
Ba (0.000, 0.000, 0.000)
Ni (0.000, 0.000, 0.500)
Pt (0.500, 0.500, 0.320)
Pt (0.500, 0.500, 0.680)

Calculated values
Fermi-level density of states = 3.902 states/eV per cell
Total DFT energy (no corrections) = -4.98 eV/atom
E_form = -0.031 eV/atom

***

Record 7
A relaxed BaNiPt2 crystal. Source: Alexandria, functional PBE.

a b c (Å): 9.019 9.019 9.019
angles (deg): 147.53 147.53 46.57
Atoms (fractional coordinates):
Ba (0.000, 0.000, 0.000)
Ba (0.750, 0.250, 0.500)
Ni (0.250, 0.750, 0.500)
Ni (0.500, 0.500, 0.000)
Pt (0.335, 0.625, 0.210)
Pt (0.375, 0.585, 0.710)
Pt (0.415, 0.125, 0.790)
Pt (0.875, 0.665, 0.290)

Calculated values
Fermi-level density of states = 6.386 states/eV per cell
Total DFT energy (no corrections) = -5.24 eV/atom
E_form = -0.291 eV/atom

***

Record 8
A relaxed BaNiPt2 crystal. Source: Alexandria, functional PBE.

a b c (Å): 5.364 5.364 5.364
angles (deg): 133.59 133.59 67.73
Atoms (fractional coordinates):
Ba (0.000, 0.000, 0.000)
Ni (0.500, 0.500, 0.000)
Pt (0.250, 0.750, 0.500)
Pt (0.750, 0.250, 0.500)

Calculated values
Fermi-level density of states = 4.899 states/eV per cell
Total DFT energy (no corrections) = -4.74 eV/atom
E_form = 0.203 eV/atom

***

Record 9
A relaxed BaNiPt2 crystal. Source: Alexandria, functional PBE.

a b c (Å): 4.190 4.190 4.514
angles (deg): 90.00 90.00 90.00
Atoms (fractional coordinates):
Ba (0.000, 0.000, 0.000)
Ni (0.500, 0.500, 0.000)
Pt (0.000, 0.500, 0.500)
Pt (0.500, 0.000, 0.500)

Calculated values
Fermi-level density of states = 4.399 states/eV per cell
Total DFT energy (no corrections) = -4.81 eV/atom
E_form = 0.137 eV/atom

***

Record 10
A relaxed BaNiPt2 crystal. Source: Alexandria, functional PBE.

a b c (Å): 3.368 3.368 7.185
angles (deg): 90.00 90.00 90.00
Atoms (fractional coordinates):
Ba (0.000, 0.000, 0.000)
Ni (0.500, 0.500, 0.339)
Pt (0.000, 0.000, 0.465)
Pt (0.500, 0.500, 0.689)

Calculated values
Fermi-level density of states = 2.319 states/eV per cell
Total DFT energy (no corrections) = -4.91 eV/atom
E_form = 0.036 eV/atom

***

Record 11
A relaxed Ba2NiPt2 crystal. Source: Alexandria, functional PBE.

a b c (Å): 9.491 9.491 9.491
angles (deg): 156.68 156.68 33.22
Atoms (fractional coordinates):
Ba (0.105, 0.105, 0.000)
Ba (0.895, 0.895, 0.000)
Ni (0.500, 0.500, 0.000)
Pt (0.250, 0.750, 0.500)
Pt (0.750, 0.250, 0.500)

Calculated values
Fermi-level density of states = 1.948 states/eV per cell
Total DFT energy (no corrections) = -4.49 eV/atom
E_form = -0.145 eV/atom

***

Record 12
A relaxed BaNiPt2 crystal. Source: Alexandria, functional PBE.

a b c (Å): 4.452 4.452 6.122
angles (deg): 111.42 111.42 60.00
Atoms (fractional coordinates):
Ba (0.000, 0.000, 0.000)
Ni (0.500, 0.500, 0.500)
Pt (0.184, 0.184, 0.553)
Pt (0.816, 0.816, 0.447)

Calculated values
Fermi-level density of states = 1.365 states/eV per cell
Total DFT energy (no corrections) = -5.40 eV/atom
E_form = -0.458 eV/atom

***

Record 13
A relaxed BaNiPt2 crystal. Source: Alexandria, functional PBE.

a b c (Å): 5.051 5.051 5.051
angles (deg): 127.11 127.11 78.07
Atoms (fractional coordinates):
Ba (0.000, 0.000, 0.000)
Ni (0.250, 0.750, 0.500)
Pt (0.500, 0.500, 0.000)
Pt (0.750, 0.250, 0.500)

Calculated values
Fermi-level density of states = 3.488 states/eV per cell
Total DFT energy (no corrections) = -4.75 eV/atom
E_form = 0.200 eV/atom

***

Record 14
A relaxed Ba6NiPt2 crystal. Source: Alexandria, functional PBE.

a b c (Å): 10.231 10.231 9.132
angles (deg): 102.10 102.10 26.05
Atoms (fractional coordinates):
Ba (0.004, 0.004, 0.235)
Ba (0.328, 0.328, 0.430)
Ba (0.340, 0.340, 0.907)
Ba (0.660, 0.660, 0.093)
Ba (0.672, 0.672, 0.570)
Ba (0.996, 0.996, 0.765)
Ni (0.500, 0.500, 0.000)
Pt (0.166, 0.166, 0.331)
Pt (0.834, 0.834, 0.669)

Calculated values
Fermi-level density of states = 3.843 states/eV per cell
Total DFT energy (no corrections) = -3.68 eV/atom
E_form = -0.410 eV/atom

***

Record 15
A relaxed Ba2NiPt crystal. Source: Alexandria, functional PBE.

a b c (Å): 6.931 6.931 6.931
angles (deg): 107.82 107.82 112.83
Atoms (fractional coordinates):
Ba (0.118, 0.625, 0.993)
Ba (0.375, 0.368, 0.493)
Ba (0.632, 0.125, 0.007)
Ba (0.875, 0.882, 0.507)
Ni (0.000, 0.000, 0.000)
Ni (0.750, 0.250, 0.500)
Pt (0.250, 0.750, 0.500)
Pt (0.500, 0.500, 0.000)

Calculated values
Fermi-level density of states = 2.019 states/eV per cell
Total DFT energy (no corrections) = -3.89 eV/atom
E_form = 0.028 eV/atom

***

Record 16
A relaxed BaNiPt crystal. Source: Alexandria, functional PBE.

a b c (Å): 4.673 4.673 4.673
angles (deg): 60.00 60.00 60.00
Atoms (fractional coordinates):
Ba (0.000, 0.000, 0.000)
Ni (0.250, 0.250, 0.250)
Pt (0.500, 0.500, 0.500)

Calculated values
Fermi-level density of states = 3.361 states/eV per cell
Total DFT energy (no corrections) = -4.45 eV/atom
E_form = 0.132 eV/atom

***

Record 17
A relaxed BaNiPt crystal. Source: Alexandria, functional PBE.

a b c (Å): 4.875 4.875 4.875
angles (deg): 60.00 60.00 60.00
Atoms (fractional coordinates):
Ba (0.000, 0.000, 0.000)
Ni (0.250, 0.250, 0.250)
Pt (0.750, 0.750, 0.750)

Calculated values
Fermi-level density of states = 1.365 states/eV per cell
Total DFT energy (no corrections) = -3.84 eV/atom
E_form = 0.739 eV/atom

***

Record 18
A relaxed Ba2NiPt crystal. Source: Alexandria, functional PBE.

a b c (Å): 4.546 4.546 6.415
angles (deg): 90.00 90.00 90.00
Atoms (fractional coordinates):
Ba (0.000, 0.000, 0.000)
Ba (0.500, 0.500, 0.498)
Ni (0.000, 0.000, 0.502)
Pt (0.500, 0.500, 0.998)

Calculated values
Fermi-level density of states = 5.212 states/eV per cell
Total DFT energy (no corrections) = -4.05 eV/atom
E_form = -0.137 eV/atom

***

Record 19
A relaxed Ba2NiPt crystal. Source: Alexandria, functional PBE.

a b c (Å): 5.267 5.267 5.267
angles (deg): 60.00 60.00 60.00
Atoms (fractional coordinates):
Ba (0.000, 0.000, 0.000)
Ba (0.250, 0.250, 0.250)
Ni (0.500, 0.500, 0.500)
Pt (0.750, 0.750, 0.750)

Calculated values
Fermi-level density of states = 3.002 states/eV per cell
Total DFT energy (no corrections) = -3.84 eV/atom
E_form = 0.073 eV/atom

***

Record 20
A relaxed Ba2NiPt crystal. Source: Alexandria, functional PBE.

a b c (Å): 8.849 8.849 8.849
angles (deg): 28.89 28.89 28.89
Atoms (fractional coordinates):
Ba (0.000, 0.000, 0.000)
Ba (0.163, 0.163, 0.163)
Ni (0.749, 0.749, 0.749)
Pt (0.415, 0.415, 0.415)

Calculated values
Fermi-level density of states = 3.241 states/eV per cell
Total DFT energy (no corrections) = -4.33 eV/atom
E_form = -0.416 eV/atom

***

Record 21
A relaxed Ba2NiPt2 crystal. Source: Alexandria, functional PBE.

a b c (Å): 8.493 8.493 4.135
angles (deg): 90.00 90.00 90.00
Atoms (fractional coordinates):
Ba (0.182, 0.318, 0.000)
Ba (0.318, 0.818, 0.000)
Ba (0.682, 0.182, 0.000)
Ba (0.818, 0.682, 0.000)
Ni (0.000, 0.000, 0.000)
Ni (0.500, 0.500, 0.000)
Pt (0.109, 0.609, 0.500)
Pt (0.391, 0.109, 0.500)
Pt (0.609, 0.891, 0.500)
Pt (0.891, 0.391, 0.500)

Calculated values
Fermi-level density of states = 5.659 states/eV per cell
Total DFT energy (no corrections) = -4.18 eV/atom
E_form = 0.162 eV/atom

***

Record 22
A relaxed Ba6NiPt crystal. Source: Alexandria, functional PBE.

a b c (Å): 7.834 7.834 14.904
angles (deg): 90.00 90.00 120.00
Atoms (fractional coordinates):
Ba (0.012, 0.333, 0.125)
Ba (0.012, 0.679, 0.375)
Ba (0.321, 0.333, 0.375)
Ba (0.321, 0.988, 0.125)
Ba (0.333, 0.012, 0.625)
Ba (0.333, 0.321, 0.875)
Ba (0.667, 0.679, 0.125)
Ba (0.667, 0.988, 0.375)
Ba (0.679, 0.012, 0.875)
Ba (0.679, 0.667, 0.625)
Ba (0.988, 0.321, 0.625)
Ba (0.988, 0.667, 0.875)
Ni (0.000, 0.000, 0.000)
Ni (0.000, 0.000, 0.500)
Pt (0.333, 0.667, 0.250)
Pt (0.667, 0.333, 0.750)

Calculated values
Fermi-level density of states = 16.174 states/eV per cell
Total DFT energy (no corrections) = -3.16 eV/atom
E_form = -0.238 eV/atom

***

Record 23
A relaxed BaNiPt2 crystal. Source: Alexandria, functional PBE.

a b c (Å): 5.819 5.819 5.819
angles (deg): 149.05 127.90 61.84
Atoms (fractional coordinates):
Ba (0.000, 0.000, 0.000)
Ni (0.500, 0.500, 0.000)
Pt (0.295, 0.795, 0.500)
Pt (0.705, 0.205, 0.500)

Calculated values
Fermi-level density of states = 3.289 states/eV per cell
Total DFT energy (no corrections) = -4.86 eV/atom
E_form = 0.085 eV/atom

***

Record 24
A relaxed Ba2NiPt crystal. Source: Alexandria, functional PBE.

a b c (Å): 3.847 3.863 7.710
angles (deg): 90.00 90.00 90.00
Atoms (fractional coordinates):
Ba (0.000, 0.000, 0.246)
Ba (0.000, 0.000, 0.754)
Ni (0.500, 0.500, 0.500)
Pt (0.500, 0.500, 0.000)

Calculated values
Fermi-level density of states = 1.929 states/eV per cell
Total DFT energy (no corrections) = -4.12 eV/atom
E_form = -0.198 eV/atom

***

Record 25
A relaxed Ba2NiPt crystal. Source: Alexandria, functional PBE.

a b c (Å): 4.537 4.537 7.923
angles (deg): 106.66 106.66 60.08
Atoms (fractional coordinates):
Ba (0.248, 0.248, 0.246)
Ba (0.752, 0.752, 0.754)
Ni (0.000, 0.000, 0.500)
Pt (0.500, 0.500, 0.000)

Calculated values
Fermi-level density of states = 7.220 states/eV per cell
Total DFT energy (no corrections) = -4.05 eV/atom
E_form = -0.136 eV/atom

***

Record 26
A relaxed BaNiPt crystal. Source: Alexandria, functional PBE.

a b c (Å): 6.689 6.689 6.689
angles (deg): 90.00 90.00 90.00
Atoms (fractional coordinates):
Ba (0.124, 0.124, 0.124)
Ba (0.376, 0.876, 0.624)
Ba (0.624, 0.376, 0.876)
Ba (0.876, 0.624, 0.376)
Ni (0.160, 0.340, 0.660)
Ni (0.340, 0.660, 0.160)
Ni (0.660, 0.160, 0.340)
Ni (0.840, 0.840, 0.840)
Pt (0.088, 0.588, 0.912)
Pt (0.412, 0.412, 0.412)
Pt (0.588, 0.912, 0.088)
Pt (0.912, 0.088, 0.588)

Calculated values
Fermi-level density of states = 12.489 states/eV per cell
Total DFT energy (no corrections) = -4.91 eV/atom
E_form = -0.330 eV/atom